Here is a relaxed structure of Ca2PaVN4 from Alexandria via LeMat-Bulk. Energies are from PBE.

Computed properties:
* symmetry: No. 63
* Fermi-level density of states: 0.54 states/eV per atom
* size of the total moment: 0.069 μB/atom
* formation energy (no corrections): -7.884 eV per formula unit

Cell and atoms, written as POSCAR:
```
Ca2PaVN4
1.0
-2.440 1.052 -2.044
-2.024 -4.855 2.668
-4.483 6.704 8.801
Ca Pa V N
4 2 2 8
Direct
0.370 0.740 0.540
0.630 0.260 0.040
0.630 0.260 0.460
0.370 0.740 0.960
0.094 0.187 0.750
0.906 0.813 0.250
0.828 0.656 0.750
0.172 0.344 0.250
0.281 0.562 0.141
0.719 0.438 0.641
0.719 0.438 0.859
0.281 0.562 0.359
0.000 0.000 0.500
0.000 0.000 0.000
0.437 0.873 0.750
0.563 0.127 0.250
```


Here is a relaxed structure of CaPaW2N6 from Alexandria via LeMat-Bulk. Energies are from PBE.

Computed properties:
* symmetry: No. 15
* Fermi-level density of states: 0.51 states/eV per atom
* size of the total moment: 0.000 μB/atom
* formation energy (no corrections): -8.805 eV per formula unit

Cell and atoms, written as POSCAR:
```
CaPaW2N6
1.0
5.902 -0.287 -0.297
1.560 7.047 0.064
1.560 -0.197 7.045
Ca Pa W N
2 2 4 12
Direct
0.250 0.912 0.088
0.750 0.088 0.912
0.250 0.291 0.709
0.750 0.709 0.291
0.213 0.787 0.610
0.287 0.390 0.213
0.787 0.213 0.390
0.713 0.610 0.787
0.155 0.995 0.768
0.345 0.232 0.005
0.845 0.005 0.232
0.655 0.768 0.995
0.385 0.846 0.387
0.115 0.613 0.154
0.615 0.154 0.613
0.885 0.387 0.846
0.918 0.712 0.584
0.582 0.416 0.288
0.082 0.288 0.416
0.418 0.584 0.712
```


Here is a relaxed structure of Ca2YPaN4 from Alexandria via LeMat-Bulk. Energies are from PBE.

Computed properties:
* symmetry: No. 10
* size of the total moment: 0.000 μB/atom
* formation energy (no corrections): -12.056 eV per formula unit

Cell and atoms, written as POSCAR:
```
Ca2YPaN4
1.0
3.555 0.000 0.000
0.000 6.059 0.122
0.000 -2.102 5.686
Ca Y Pa N
2 1 1 4
Direct
0.500 0.000 0.500
0.000 0.500 0.500
0.500 0.500 0.000
0.000 0.000 0.000
0.500 0.229 0.219
0.500 0.771 0.781
0.000 0.243 0.781
0.000 0.757 0.219
```


Here is a relaxed structure of CaY2PaN4 from Alexandria via LeMat-Bulk. Energies are from PBE.

Computed properties:
* symmetry: No. 10
* Fermi-level density of states: 0.35 states/eV per atom
* size of the total moment: 0.000 μB/atom
* formation energy (no corrections): -12.580 eV per formula unit

Cell and atoms, written as POSCAR:
```
CaY2PaN4
1.0
3.518 0.000 0.000
0.000 5.994 0.146
0.000 -2.056 5.657
Ca Y Pa N
1 2 1 4
Direct
0.500 0.500 0.000
0.500 0.000 0.500
0.000 0.500 0.500
0.000 0.000 0.000
0.500 0.238 0.245
0.500 0.762 0.755
0.000 0.224 0.757
0.000 0.776 0.243
```


Here is a relaxed structure of Ca3YPa3N8 from Alexandria via LeMat-Bulk. Energies are from PBE.

Computed properties:
* symmetry: No. 166
* size of the total moment: 0.000 μB/atom
* formation energy (no corrections): -21.077 eV per formula unit

Cell and atoms, written as POSCAR:
```
Ca3YPa3N8
1.0
-1.537 3.441 -5.988
-5.169 -3.013 3.775
3.295 5.690 2.424
Ca Y Pa N
3 1 3 8
Direct
0.000 0.000 0.000
0.000 0.500 0.000
0.500 0.500 0.000
0.000 0.000 0.500
0.500 0.000 0.500
0.500 0.500 0.500
0.000 0.500 0.500
0.258 0.516 0.274
0.742 0.484 0.726
0.764 0.528 0.305
0.236 0.472 0.695
0.764 0.041 0.305
0.236 0.959 0.695
0.277 0.041 0.305
0.723 0.959 0.695
```


Here is a relaxed structure of Ca4YPa3N8 from Alexandria via LeMat-Bulk. Energies are from PBE.

Computed properties:
* symmetry: No. 166
* Fermi-level density of states: 0.57 states/eV per atom
* size of the total moment: 0.000 μB/atom
* formation energy (no corrections): -23.707 eV per formula unit

Cell and atoms, written as POSCAR:
```
Ca4YPa3N8
1.0
-2.426 5.242 -4.096
-5.075 -4.217 -2.390
0.808 1.030 6.960
Ca Y Pa N
4 1 3 8
Direct
0.500 0.000 0.000
0.500 0.000 0.500
0.000 0.000 0.000
0.000 0.000 0.500
0.000 0.500 0.000
0.500 0.500 0.000
0.500 0.500 0.500
0.000 0.500 0.500
0.245 0.715 0.970
0.245 0.715 0.491
0.261 0.284 0.522
0.725 0.715 0.970
0.275 0.285 0.030
0.739 0.716 0.478
0.755 0.285 0.509
0.755 0.285 0.030
```


Here is a relaxed structure of Ca3YPa2N6 from Alexandria via LeMat-Bulk. Energies are from PBE.

Computed properties:
* symmetry: No. 12
* Fermi-level density of states: 0.42 states/eV per atom
* size of the total moment: 0.000 μB/atom
* formation energy (no corrections): -17.877 eV per formula unit

Cell and atoms, written as POSCAR:
```
Ca3YPa2N6
1.0
3.558 0.000 0.000
0.000 7.027 0.277
-1.779 -1.999 7.341
Ca Y Pa N
3 1 2 6
Direct
0.500 0.500 0.000
0.835 0.167 0.670
0.165 0.833 0.330
0.500 0.000 0.000
0.836 0.673 0.672
0.164 0.327 0.328
0.336 0.893 0.673
0.676 0.560 0.351
0.664 0.107 0.327
0.012 0.247 0.025
0.988 0.753 0.975
0.324 0.440 0.649
```


Here is a relaxed structure of Ca2PaZn2N4 from Alexandria via LeMat-Bulk. Energies are from PBE.

Computed properties:
* symmetry: No. 12
* Fermi-level density of states: 0.20 states/eV per atom
* size of the total moment: 0.000 μB/atom
* formation energy (no corrections): -7.869 eV per formula unit

Cell and atoms, written as POSCAR:
```
Ca2PaZn2N4
1.0
3.512 0.000 0.000
-1.756 6.392 -1.984
0.000 -3.835 7.180
Ca Pa Zn N
2 1 2 4
Direct
0.826 0.651 0.416
0.174 0.349 0.584
0.000 0.000 0.000
0.373 0.745 0.130
0.627 0.255 0.870
0.789 0.578 0.886
0.211 0.422 0.114
0.580 0.159 0.260
0.420 0.841 0.740
```